# 1
VASP calculation (PBE) on crystalline Al2CuOs at its relaxed geometry.

Computed properties:
Uncorrected energy = -22.47 eV for the cell shown
Total magnetization = 0.00 μB/f.u.

```
4
Lattice="0.000 3.020 3.020 3.020 0.000 3.020 3.020 3.020 0.000" Properties=species:S:1:pos:R:3 pbc="T T T"
Al 0.000 0.000 0.000
Al 1.510 1.510 1.510
Cu 4.529 4.529 4.529
Os 3.020 3.020 3.020
```

---

# 2
VASP calculation (PBE) on crystalline AlCu2Os at its relaxed geometry.

Computed properties:
Uncorrected energy = -22.31 eV for the cell shown
Total magnetization = 0.01 μB/f.u.

```
4
Lattice="0.000 2.961 2.961 2.961 0.000 2.961 2.961 2.961 0.000" Properties=species:S:1:pos:R:3 pbc="T T T"
Al 0.000 0.000 0.000
Cu 2.961 2.961 2.961
Cu 4.442 4.442 4.442
Os 1.481 1.481 1.481
```

---

# 3
VASP calculation (PBE) on crystalline AlCuOsPt at its relaxed geometry.

Computed properties:
Excess energy over the best structure of this formula in the dataset = 0.00 eV per formula unit
Uncorrected energy = -24.71 eV for the cell shown
Total magnetization = 0.11 μB/f.u.

```
4
Lattice="0.000 3.058 3.058 3.058 0.000 3.058 3.058 3.058 0.000" Properties=species:S:1:pos:R:3 pbc="T T T"
Al 0.000 0.000 0.000
Cu 1.529 1.529 1.529
Os 4.587 4.587 4.587
Pt 3.058 3.058 3.058
```

---

# 4
VASP calculation (PBE) on crystalline AlCuTcOs at its relaxed geometry.

Computed properties:
Excess energy over the best structure of this formula in the dataset = 0.00 eV per formula unit
Uncorrected energy = -29.27 eV for the cell shown
Total magnetization = 0.00 μB/f.u.

```
4
Lattice="0.000 3.025 3.025 3.025 0.000 3.025 3.025 3.025 0.000" Properties=species:S:1:pos:R:3 pbc="T T T"
Al 0.000 0.000 0.000
Cu 1.512 1.512 1.512
Tc 3.025 3.025 3.025
Os 4.537 4.537 4.537
```

---

# 5
VASP calculation (PBE) on crystalline AlCuTeOs at its relaxed geometry.

Computed properties:
Excess energy over the best structure of this formula in the dataset = 0.00 eV per formula unit
Uncorrected energy = -20.41 eV for the cell shown
Total magnetization = 0.00 μB/f.u.

```
4
Lattice="0.000 3.185 3.185 3.185 0.000 3.185 3.185 3.185 0.000" Properties=species:S:1:pos:R:3 pbc="T T T"
Al 0.000 0.000 0.000
Cu 1.593 1.593 1.593
Te 3.185 3.185 3.185
Os 4.778 4.778 4.778
```

---

# 6
VASP calculation (PBE) on crystalline YAlCuOs at its relaxed geometry.

Computed properties:
Excess energy over the best structure of this formula in the dataset = 0.00 eV per formula unit
Uncorrected energy = -25.69 eV for the cell shown
Total magnetization = 0.01 μB/f.u.

```
4
Lattice="0.000 3.236 3.236 3.236 0.000 3.236 3.236 3.236 0.000" Properties=species:S:1:pos:R:3 pbc="T T T"
Y 0.000 0.000 0.000
Al 3.236 3.236 3.236
Cu 4.853 4.853 4.853
Os 1.618 1.618 1.618
```

---

# 7
VASP calculation (PBE) on crystalline YAlCuOs at its relaxed geometry.

Computed properties:
Excess energy over the best structure of this formula in the dataset = 1.57 eV per formula unit
Uncorrected energy = -24.12 eV for the cell shown
Total magnetization = 0.01 μB/f.u.

```
4
Lattice="0.000 3.260 3.260 3.260 0.000 3.260 3.260 3.260 0.000" Properties=species:S:1:pos:R:3 pbc="T T T"
Y 0.000 0.000 0.000
Al 1.630 1.630 1.630
Cu 3.260 3.260 3.260
Os 4.889 4.889 4.889
```

---

# 8
VASP calculation (PBE) on crystalline AlZnCuOs at its relaxed geometry.

Computed properties:
Excess energy over the best structure of this formula in the dataset = 0.87 eV per formula unit
Uncorrected energy = -19.39 eV for the cell shown
Total magnetization = 0.01 μB/f.u.

```
4
Lattice="0.000 3.004 3.004 3.004 0.000 3.004 3.004 3.004 0.000" Properties=species:S:1:pos:R:3 pbc="T T T"
Al 0.000 0.000 0.000
Zn 4.506 4.506 4.506
Cu 1.502 1.502 1.502
Os 3.004 3.004 3.004
```

---

# 9
VASP calculation (PBE) on crystalline AlZnCuOs at its relaxed geometry.

Computed properties:
Excess energy over the best structure of this formula in the dataset = 0.00 eV per formula unit
Uncorrected energy = -20.26 eV for the cell shown
Total magnetization = 0.00 μB/f.u.

```
4
Lattice="0.000 3.000 3.000 3.000 0.000 3.000 3.000 3.000 0.000" Properties=species:S:1:pos:R:3 pbc="T T T"
Al 0.000 0.000 0.000
Zn 3.000 3.000 3.000
Cu 1.500 1.500 1.500
Os 4.500 4.500 4.500
```

---

# 10
VASP calculation (PBE) on crystalline AlCuP at its relaxed geometry.

Computed properties:
Uncorrected energy = -25.77 eV for the cell shown

```
6
Lattice="4.208 0.000 0.000 0.000 4.208 0.000 0.000 0.000 5.234" Properties=species:S:1:pos:R:3 pbc="T T T"
Al 1.052 3.156 0.000
Al 3.156 1.052 0.000
Cu 1.052 1.052 1.406
Cu 3.156 3.156 3.828
P 1.052 3.156 2.617
P 3.156 1.052 2.617
```

---

# 11
VASP calculation (PBE) on crystalline Al3Cu2P at its relaxed geometry.

Computed properties:
Uncorrected energy = -24.73 eV for the cell shown

```
6
Lattice="4.066 0.000 0.000 0.000 4.066 0.000 0.000 0.000 5.705" Properties=species:S:1:pos:R:3 pbc="T T T"
Al 0.000 0.000 0.000
Al 0.000 0.000 2.852
Al 2.033 2.033 0.000
Cu 0.000 2.033 1.444
Cu 2.033 0.000 4.261
P 2.033 2.033 2.852
```

---

# 12
VASP calculation (PBE) on crystalline AlCu2P3 at its relaxed geometry.

Computed properties:
Uncorrected energy = -26.34 eV for the cell shown

```
6
Lattice="4.079 0.000 0.000 0.000 4.079 0.000 0.000 0.000 5.593" Properties=species:S:1:pos:R:3 pbc="T T T"
Al 0.000 0.000 0.000
Cu 0.000 2.040 1.490
Cu 2.040 0.000 4.103
P 0.000 0.000 2.797
P 2.040 2.040 0.000
P 2.040 2.040 2.797
```

---

Which formula does entry 4 have? AlCuTcOs

---

What did the fifth record say?
VASP calculation (PBE) on crystalline AlCuTeOs at its relaxed geometry.

Computed properties:
Excess energy over the best structure of this formula in the dataset = 0.00 eV per formula unit
Uncorrected energy = -20.41 eV for the cell shown
Total magnetization = 0.00 μB/f.u.

```
4
Lattice="0.000 3.185 3.185 3.185 0.000 3.185 3.185 3.185 0.000" Properties=species:S:1:pos:R:3 pbc="T T T"
Al 0.000 0.000 0.000
Cu 1.593 1.593 1.593
Te 3.185 3.185 3.185
Os 4.778 4.778 4.778
```

---

Which of these has the lowest uncorrected energy? AlCuTcOs

---

Please write out number 5 again, unchanged.
VASP calculation (PBE) on crystalline AlCuTeOs at its relaxed geometry.

Computed properties:
Excess energy over the best structure of this formula in the dataset = 0.00 eV per formula unit
Uncorrected energy = -20.41 eV for the cell shown
Total magnetization = 0.00 μB/f.u.

```
4
Lattice="0.000 3.185 3.185 3.185 0.000 3.185 3.185 3.185 0.000" Properties=species:S:1:pos:R:3 pbc="T T T"
Al 0.000 0.000 0.000
Cu 1.593 1.593 1.593
Te 3.185 3.185 3.185
Os 4.778 4.778 4.778
```